Be2MoIr | PBE | optimized geometry

abc: 3.574 3.574 7.597
angles: 90.00 90.00 90.00
Atoms (fractional coordinates):
Be 0.000 0.000 0.000
Be 0.000 0.500 0.250
Be 0.500 0.000 0.750
Be 0.500 0.500 0.500
Mo 0.000 0.000 0.500
Mo 0.500 0.500 0.000
Ir 0.000 0.500 0.750
Ir 0.500 0.000 0.250

## Properties
**Crystal system**: tetragonal
**Volume**: 97 Å³/cell
**Total energy**: -55.3 eV/cell
**ΔH_f (0 K)**: -124 meV per atom
**Space-group type**: I-4m2 (119)